[1]
# CoAsPt2

CoAsPt2 after structural relaxation (GGA-PBE, Alexandria via LeMat-Bulk).

extended XYZ file:
```
4
Lattice="2.950 0.000 0.000 0.000 3.685 0.000 -0.028 0.000 5.519" Properties=species:S:1:pos:R:3 pbc="T T T"
Co 0.000 0.000 0.000
As -0.014 0.000 2.759
Pt 1.451 1.843 4.196
Pt 1.471 1.843 1.323
```

* calculated volume: 15.00 A^3/atom
* formation energy from the elements: -0.01 eV/atom
* density of states at the Fermi level: 3.79 states/eV/f.u.

=====

[2]
# TaOs3W

TaOs3W after structural relaxation (GGA-PBE, Alexandria via LeMat-Bulk).

extended XYZ file:
```
5
Lattice="4.661 0.000 0.000 0.000 4.661 0.000 0.000 0.000 4.661" Properties=species:S:1:pos:R:3 pbc="T T T"
Ta 0.000 0.000 0.000
Os 0.000 2.330 2.330
Os 2.330 0.000 2.330
Os 2.330 2.330 0.000
W 2.330 2.330 2.330
```

* calculated volume: 20.25 A^3/atom
* formation energy from the elements: 2.14 eV/atom
* distance to the lowest polymorph of the same formula: 0.00 eV/f.u.
* density of states at the Fermi level: 3.52 states/eV/f.u.

=====

[3]
# KRbNa2Si

KRbNa2Si after structural relaxation (GGA-PBE, Alexandria via LeMat-Bulk).

extended XYZ file:
```
5
Lattice="5.892 0.000 0.000 0.000 5.892 0.000 0.000 0.000 6.483" Properties=species:S:1:pos:R:3 pbc="T T T"
K 0.000 0.000 0.000
Rb 2.946 2.946 0.000
Na 0.000 2.946 3.241
Na 2.946 0.000 3.241
Si 0.000 0.000 3.241
```

* calculated volume: 45.02 A^3/atom
* density of states at the Fermi level: 2.61 states/eV/f.u.
* formation energy (no corrections): 180 meV per atom

=====

[4]
# BaCaLa

BaCaLa after structural relaxation (GGA-PBE, Alexandria via LeMat-Bulk).

extended XYZ file:
```
3
Lattice="-1.933 2.920 6.008 1.933 -2.920 6.008 1.933 2.920 -6.008" Properties=species:S:1:pos:R:3 pbc="T T T"
Ba 0.000 0.000 0.000
Ca 0.000 0.000 3.888
La 0.000 0.000 7.979
```

* calculated volume: 45.23 A^3/atom
* formation energy from the elements: 0.17 eV/atom
* distance to the lowest polymorph of the same formula: 0.26 eV/f.u.
* density of states at the Fermi level: 6.07 states/eV/f.u.

=====

E, respectively: -5.969 -9.556 -1.845 -2.781 eV per atom.